The following is a PBE calculation of crystalline ZrU at its relaxed geometry, from OQMD via LeMat-Bulk.

a = 5.8189 Å, b = 5.0899 Å, c = 8.0368 Å
α = 90.00°, β = 111.17°, γ = 90.00°
Space group Pm (No. 6)
Inequivalent atoms, fractional coordinates:
Zr 0.0000 0.0000 0.0000 [1 per cell]
Zr 0.0329 0.5000 0.6098 [1 per cell]
Zr 0.2791 0.5000 0.0164 [1 per cell]
Zr 0.6090 0.0000 0.2184 [1 per cell]
Zr 0.8720 0.5000 0.2024 [1 per cell]
U 0.2323 0.0000 0.4376 [1 per cell]
U 0.4051 0.0000 0.7819 [1 per cell]
U 0.4464 0.5000 0.4364 [1 per cell]
U 0.6191 0.5000 0.7831 [1 per cell]
U 0.8039 0.0000 0.6095 [1 per cell]

Energy relative to the lowest polymorph listed for this composition in meV per atom: 72
Formation enthalpy at 0 K in eV/atom: 0.19
Spin magnetization in μB per formula unit: 0.5



The following is a PBE calculation of crystalline Gd2ErMg3AgAu2 at its relaxed geometry, from OQMD via LeMat-Bulk.

a = 4.0009 Å, b = 13.3959 Å, c = 7.7612 Å
α = 90.00°, β = 90.00°, γ = 90.00°
Space group Amm2 (No. 38)
Inequivalent atoms, fractional coordinates:
Gd 0.0000 0.2075 0.0000 [4 per cell]
Er 0.0000 0.0000 0.6233 [2 per cell]
Mg 0.5000 0.0000 0.9583 [2 per cell]
Mg 0.5000 0.1239 0.3330 [4 per cell]
Ag 0.0000 0.0000 0.2096 [2 per cell]
Au 0.5000 0.1643 0.7063 [4 per cell]

Total energy in eV per cell: -65.738
Spin magnetization in μB per formula unit: 0.0



The following is a PBE calculation of crystalline SmGdSi4Os2 at its relaxed geometry, from OQMD via LeMat-Bulk.

a = 4.4525 Å, b = 4.1173 Å, c = 8.1814 Å
α = 90.00°, β = 101.88°, γ = 90.00°
Space group Pm (No. 6)
Inequivalent atoms, fractional coordinates:
Sm 0.0000 0.0000 0.0000 [1 per cell]
Gd 0.1800 0.5000 0.4044 [1 per cell]
Si 0.2527 0.0000 0.6950 [1 per cell]
Si 0.5503 0.5000 0.1102 [1 per cell]
Si 0.6265 0.0000 0.2918 [1 per cell]
Si 0.9231 0.5000 0.7053 [1 per cell]
Os 0.4713 0.5000 0.8152 [1 per cell]
Os 0.7047 0.0000 0.5858 [1 per cell]

Total energy in eV per cell: -59.488
Spin magnetization in μB per formula unit: 0.0



The following is a PBE calculation of crystalline TbPuGe at its relaxed geometry, from OQMD via LeMat-Bulk.

a = 6.9551 Å, b = 6.9551 Å, c = 6.9551 Å
α = 90.00°, β = 90.00°, γ = 90.00°
Space group F-43m (No. 216)
Inequivalent atoms, fractional coordinates:
Tb 0.0000 0.0000 0.0000 [4 per cell]
Pu 0.0000 0.0000 0.5000 [4 per cell]
Ge 0.2500 0.2500 0.7500 [4 per cell]

Energy relative to the lowest polymorph listed for this composition in meV per atom: 0
Spin magnetization in μB per formula unit: 6.5



The following is a PBE calculation of crystalline CsTaSiS5 at its relaxed geometry, from OQMD via LeMat-Bulk.

a = 7.0039 Å, b = 7.4819 Å, c = 9.3625 Å
α = 112.45°, β = 90.41°, γ = 105.65°
Space group P-1 (No. 2)
Inequivalent atoms, fractional coordinates:
Cs 0.1068 0.3399 0.1853 [2 per cell]
Ta 0.2600 0.0289 0.5045 [2 per cell]
Si 0.4785 0.9315 0.1254 [2 per cell]
S 0.0651 0.2483 0.5321 [2 per cell]
S 0.2003 0.8565 0.2085 [2 per cell]
S 0.2943 0.1584 0.7951 [2 per cell]
S 0.4260 0.7665 0.8724 [2 per cell]
S 0.4271 0.7710 0.5130 [2 per cell]

Total energy in eV per cell: -93.502
Spin magnetization in μB per formula unit: 0.0



The following is a PBE calculation of crystalline Lu4InGeN2 at its relaxed geometry, from OQMD via LeMat-Bulk.

a = 3.4139 Å, b = 3.4139 Å, c = 14.6587 Å
α = 90.00°, β = 90.00°, γ = 120.00°
Space group P-6m2 (No. 187)
Inequivalent atoms, fractional coordinates:
Lu 0.0000 0.0000 0.1507 [2 per cell]
Lu 0.6667 0.3333 0.3273 [2 per cell]
In 0.0000 0.0000 0.5000 [1 per cell]
Ge 0.6667 0.3333 0.0000 [1 per cell]
N 0.3333 0.6667 0.2396 [2 per cell]

Total energy in eV per cell: -51.354
Spin magnetization in μB per formula unit: 0.0



The following is a PBE calculation of crystalline ZrScSbC at its relaxed geometry, from OQMD via LeMat-Bulk.

a = 3.4268 Å, b = 3.4268 Å, c = 14.2732 Å
α = 90.00°, β = 90.00°, γ = 120.00°
Space group P-3m1 (No. 164)
Inequivalent atoms, fractional coordinates:
Zr 0.3333 0.6667 0.0860 [2 per cell]
Sc 0.3333 0.6667 0.4163 [2 per cell]
Sb 0.3333 0.6667 0.7495 [2 per cell]
C 0.0000 0.0000 0.0000 [1 per cell]
C 0.0000 0.0000 0.5000 [1 per cell]

Energy relative to the lowest polymorph listed for this composition in meV per atom: 8
Spin magnetization in μB per formula unit: 0.0



The following is a PBE calculation of crystalline ThSi2Ir5 at its relaxed geometry, from OQMD via LeMat-Bulk.

a = 3.9334 Å, b = 6.9174 Å, c = 9.6569 Å
α = 90.00°, β = 90.00°, γ = 90.00°
Space group Immm (No. 71)
Inequivalent atoms, fractional coordinates:
Th 0.0000 0.0000 0.0000 [2 per cell]
Si 0.0000 0.5000 0.2430 [4 per cell]
Ir 0.0000 0.2005 0.3549 [8 per cell]
Ir 0.0000 0.5000 0.0000 [2 per cell]

Total energy in eV per cell: -137.337
Spin magnetization in μB per formula unit: 0.0